1.
Density functional theory data (GGA-PBE) for Tb6HgPt2 after structural relaxation.

The structure belongs to space group Immm (No. 71); the cell edges are 9.4226, 9.7950 and 10.4461 Å and the angles 90.00°, 90.00° and 90.00°. Symmetry generates all atoms from Tb at (0.0000, 0.1976, 0.2373), Tb at (0.1984, 0.5000, 0.1692), Tb at (0.2111, 0.3191, 0.5000), Hg at (0.0000, 0.0000, 0.0000), Hg at (0.0000, 0.0000, 0.5000), Pt at (0.0000, 0.3413, 0.0000) and Pt at (0.0000, 0.5000, 0.3652).

The value obtained for the density of states at the Fermi level is 1.0066 states/eV/atom. As for the energy relative to the elements: -0.7130 eV per atom. For the total moment, the calculation gives 0.000 μB/atom. The electronic total energy is -186.33 eV for the cell shown.

=====

2.
Density functional theory data (GGA-PBE) for Tb2Hg2Pt after structural relaxation.

The structure belongs to space group Cmmm (No. 65); the cell edges are 3.5890, 19.8460 and 3.4689 Å and the angles 90.00°, 90.00° and 90.00°. Symmetry generates all atoms from Tb at (0.0000, 0.0858, 0.0000), Hg at (0.0000, 0.3090, 0.5000) and Pt at (0.0000, 0.5000, 0.5000).

The value obtained for the density of states at the Fermi level is 0.6199 states/eV/atom. As for the energy relative to the elements: -0.6510 eV per atom. For the total moment, the calculation gives 0.000 μB/atom. The electronic total energy is -38.32 eV for the cell shown.

=====

3.
Density functional theory data (GGA-PBE) for Tb6Hg5Pt after structural relaxation.

The structure belongs to space group C2/m (No. 12); the cell edges are 16.4405, 7.4489 and 5.2005 Å and the angles 90.00°, 108.19° and 90.00°. Symmetry generates all atoms from Tb at (0.0000, 0.2298, 0.0000), Tb at (0.1582, 0.2374, 0.6581), Hg at (0.0000, 0.5000, 0.5000), Hg at (0.1660, 0.5000, 0.1658), Hg at (0.1820, 0.0000, 0.1818) and Pt at (0.0000, 0.0000, 0.5000).

The value obtained for the density of states at the Fermi level is 0.7301 states/eV/atom. As for the energy relative to the elements: -0.6091 eV per atom. For the total moment, the calculation gives 0.000 μB/atom. The electronic total energy is -85.28 eV for the cell shown.